Computed, not measured: an optimized crystal structure of CePd3Pt at the PBE-GGA level of DFT.

The space group is R3m (No. 160, hexagonal axes) and the conventional cell measures 5.3257, 5.3257 and 13.1393 Å, with angles of 90.00, 90.00 and 120.00 degrees. Symmetry generates all atoms from Ce at (0.0000, 0.0000, 0.0000), Pd at (0.0009, 0.5005, 0.1281) and Pt at (0.0000, 0.0000, 0.6277).

Its energy of formation from the pure elements is -2.63 eV per formula unit. The calculation puts the offset from the most stable computed form at 0 meV/atom. Its total energy is -6.037 eV per atom. The value obtained for the volume is 322.7 Å³/cell.